No. 1
Compound: MgMoRu2C
Source: Alexandria via LeMat-Bulk
Functional: PBE-GGA
Structure: optimized geometry

The structure in POSCAR format:
```
MgMoRu2C
1.0
4.1054 0.0000 0.0000
0.0000 4.1054 0.0000
0.0000 0.0000 4.1219
Mg Mo Ru C
1 1 2 1
Direct
0.0000 0.0000 0.0000
0.5000 0.5000 0.0000
0.0000 0.5000 0.5000
0.5000 0.0000 0.5000
0.5000 0.5000 0.5000
```

- space-group type = P4/mmm
- DFT formation energy (eV/atom) = 0.137
- energy (eV/atom) = -7.904

No. 2
Compound: MgSbMoC2
Source: Alexandria via LeMat-Bulk
Functional: PBE-GGA
Structure: optimized geometry

The structure in POSCAR format:
```
MgSbMoC2
1.0
4.2036 0.0000 0.0000
0.0000 4.2036 0.0000
0.0000 0.0000 5.2997
Mg Sb Mo C
1 1 1 2
Direct
0.0000 0.0000 0.0000
0.0000 0.0000 0.5000
0.5000 0.5000 0.0000
0.0000 0.5000 0.5000
0.5000 0.0000 0.5000
```

- ΔE_f (raw) (eV/f.u.) = 14.2
- space-group type = P4/mmm
- energy (eV/atom) = -4.168

No. 3
Compound: MgSc2MoC
Source: Alexandria via LeMat-Bulk
Functional: PBE-GGA
Structure: optimized geometry

The structure in POSCAR format:
```
MgSc2MoC
1.0
4.5776 0.0000 0.0000
0.0000 4.5776 0.0000
0.0000 0.0000 4.1910
Mg Sc Mo C
1 2 1 1
Direct
0.0000 0.0000 0.0000
0.0000 0.5000 0.5000
0.5000 0.0000 0.5000
0.5000 0.5000 0.0000
0.5000 0.5000 0.5000
```

- space-group type = P4/mmm
- DFT formation energy (eV/atom) = -0.182
- energy (eV/atom) = -7.044

No. 4
Compound: MgMoC2Se
Source: Alexandria via LeMat-Bulk
Functional: PBE-GGA
Structure: optimized geometry

The structure in POSCAR format:
```
MgMoC2Se
1.0
4.0917 0.0000 0.0000
0.0000 4.0917 0.0000
0.0000 0.0000 4.8561
Mg Mo C Se
1 1 2 1
Direct
0.0000 0.0000 0.0000
0.5000 0.5000 0.0000
0.0000 0.5000 0.5000
0.5000 0.0000 0.5000
0.5000 0.5000 0.5000
```

- ΔE_f (raw) (eV/f.u.) = 11.8
- space-group type = P4/mmm
- energy (eV/atom) = -4.511

No. 5
Compound: Y2MgMoC
Source: Alexandria via LeMat-Bulk
Functional: PBE-GGA
Structure: optimized geometry

The structure in POSCAR format:
```
Y2MgMoC
1.0
5.0281 0.0000 0.0000
0.0000 5.0281 0.0000
0.0000 0.0000 4.1355
Y Mg Mo C
2 1 1 1
Direct
0.0000 0.5000 0.0000
0.5000 0.0000 0.0000
0.0000 0.0000 0.5000
0.5000 0.5000 0.5000
0.5000 0.5000 0.0000
```

- space-group type = P4/mmm
- DFT formation energy (eV/atom) = -0.086
- energy (eV/atom) = -7.002

No. 6
Compound: Mg3CN
Source: Alexandria via LeMat-Bulk
Functional: PBE-GGA
Structure: optimized geometry

The structure in POSCAR format:
```
Mg3CN
1.0
4.0577 0.0000 0.0000
0.0000 4.0577 0.0000
0.0000 0.0000 4.0577
Mg C N
3 1 1
Direct
0.0000 0.0000 0.5000
0.0000 0.5000 0.0000
0.5000 0.0000 0.0000
0.5000 0.5000 0.5000
0.0000 0.0000 0.0000
```

- ΔE_f (raw) (eV/f.u.) = 1.3
- space-group type = Pm-3m
- energy (eV/atom) = -4.209

No. 7
Compound: MgCN3
Source: Alexandria via LeMat-Bulk
Functional: PBE-GGA
Structure: optimized geometry

The structure in POSCAR format:
```
MgCN3
1.0
4.0171 0.0000 0.0000
0.0000 4.0171 0.0000
0.0000 0.0000 4.0171
Mg C N
1 1 3
Direct
0.0000 0.0000 0.0000
0.5000 0.5000 0.5000
0.0000 0.0000 0.5000
0.0000 0.5000 0.0000
0.5000 0.0000 0.0000
```

- ΔE_f (raw) (eV/f.u.) = 16.6
- space-group type = Pm-3m
- energy (eV/atom) = -3.843

No. 8
Compound: MgCN3
Source: Alexandria via LeMat-Bulk
Functional: PBE-GGA
Structure: optimized geometry

The structure in POSCAR format:
```
MgCN3
1.0
3.3739 0.0000 0.0000
0.0000 3.3739 0.0000
0.0000 0.0000 3.3739
Mg C N
1 1 3
Direct
0.0000 0.0000 0.0000
0.5000 0.5000 0.5000
0.0000 0.5000 0.5000
0.5000 0.0000 0.5000
0.5000 0.5000 0.0000
```

- ΔE_f (raw) (eV/f.u.) = 9.7
- space-group type = Pm-3m
- energy (eV/atom) = -5.210

No. 9
Compound: MgC4N6
Source: Alexandria via LeMat-Bulk
Functional: PBE-GGA
Structure: optimized geometry

The structure in POSCAR format:
```
MgC4N6
1.0
6.9323 0.0000 0.0000
0.0000 7.0857 0.0000
0.0000 0.0000 7.4634
Mg C N
2 8 12
Direct
0.0000 0.0000 0.0000
0.5000 0.5000 0.5000
0.2071 0.1941 0.3486
0.2071 0.1941 0.6514
0.2929 0.6941 0.1514
0.2929 0.6941 0.8486
0.7071 0.3059 0.1514
0.7071 0.3059 0.8486
0.7929 0.8059 0.3486
0.7929 0.8059 0.6514
0.1539 0.1407 0.2083
0.1539 0.1407 0.7917
0.2263 0.7612 0.0000
0.2737 0.2612 0.5000
0.3461 0.6407 0.2917
0.3461 0.6407 0.7083
0.6539 0.3593 0.2917
0.6539 0.3593 0.7083
0.7263 0.7388 0.5000
0.7737 0.2388 0.0000
0.8461 0.8593 0.2083
0.8461 0.8593 0.7917
```

- ΔE_f (raw) (eV/f.u.) = 0.2
- space-group type = Pnnm
- energy (eV/atom) = -8.026

No. 10
Compound: MgC3N
Source: Alexandria via LeMat-Bulk
Functional: PBE-GGA
Structure: optimized geometry

The structure in POSCAR format:
```
MgC3N
1.0
4.1492 0.0000 0.0000
0.0000 4.1492 0.0000
0.0000 0.0000 4.1492
Mg C N
1 3 1
Direct
0.0000 0.0000 0.0000
0.0000 0.0000 0.5000
0.0000 0.5000 0.0000
0.5000 0.0000 0.0000
0.5000 0.5000 0.5000
```

- ΔE_f (raw) (eV/f.u.) = 20.9
- space-group type = Pm-3m
- energy (eV/atom) = -3.343

No. 11
Compound: MgC3N
Source: Alexandria via LeMat-Bulk
Functional: PBE-GGA
Structure: optimized geometry

The structure in POSCAR format:
```
MgC3N
1.0
3.5812 0.0000 0.0000
0.0000 3.5812 0.0000
0.0000 0.0000 3.5812
Mg C N
1 3 1
Direct
0.0000 0.0000 0.0000
0.0000 0.5000 0.5000
0.5000 0.0000 0.5000
0.5000 0.5000 0.0000
0.5000 0.5000 0.5000
```

- ΔE_f (raw) (eV/f.u.) = 14.8
- space-group type = Pm-3m
- energy (eV/atom) = -4.567

No. 12
Compound: MgC2N
Source: Alexandria via LeMat-Bulk
Functional: PBE-GGA
Structure: optimized geometry

The structure in POSCAR format:
```
MgC2N
1.0
-2.3864 2.3864 3.0174
2.3864 -2.3864 3.0174
2.3864 2.3864 -3.0174
Mg C N
2 4 2
Direct
0.0000 0.0000 0.0000
0.7500 0.2500 0.5000
0.2276 0.6250 0.1026
0.3750 0.4776 0.6026
0.5224 0.1250 0.8974
0.8750 0.7724 0.3974
0.2500 0.7500 0.5000
0.5000 0.5000 0.0000
```

- ΔE_f (raw) (eV/f.u.) = 5.5
- space-group type = I-42d
- energy (eV/atom) = -5.725

No. 13
Compound: MgC2N
Source: Alexandria via LeMat-Bulk
Functional: PBE-GGA
Structure: optimized geometry

The structure in POSCAR format:
```
MgC2N
1.0
0.0000 2.6760 2.6760
2.6760 0.0000 2.6760
2.6760 2.6760 0.0000
Mg C N
1 2 1
Direct
0.0000 0.0000 0.0000
0.2500 0.2500 0.2500
0.7500 0.7500 0.7500
0.5000 0.5000 0.5000
```

- ΔE_f (raw) (eV/f.u.) = 11.5
- space-group type = Fm-3m
- energy (eV/atom) = -4.228

No. 14
Compound: NaMgCN2
Source: Alexandria via LeMat-Bulk
Functional: PBE-GGA
Structure: optimized geometry

The structure in POSCAR format:
```
NaMgCN2
1.0
6.6480 0.0000 0.0000
0.0000 5.0824 0.0000
-2.7037 0.0000 5.6439
Na Mg C N
2 2 2 4
Direct
0.0000 0.2223 0.2500
0.0000 0.7777 0.7500
0.5000 0.4985 0.7500
0.5000 0.5015 0.2500
0.5000 0.0000 0.0000
0.5000 0.0000 0.5000
0.4354 0.2303 0.4693
0.4354 0.7697 0.9693
0.5646 0.2303 0.0307
0.5646 0.7697 0.5307
```

- ΔE_f (raw) (eV/f.u.) = -1.6
- space-group type = P2/c
- energy (eV/atom) = -6.088

No. 15
Compound: MgPa3C4N12
Source: Alexandria via LeMat-Bulk
Functional: PBE-GGA
Structure: optimized geometry

The structure in POSCAR format:
```
MgPa3C4N12
1.0
5.0414 2.9107 2.8536
-5.0414 2.9107 2.8536
0.0000 -5.8214 2.8536
Mg Pa C N
1 3 4 12
Direct
0.0000 0.0000 0.0000
0.0000 0.5266 0.4734
0.4734 0.0000 0.5266
0.5266 0.4734 0.0000
0.0295 0.5000 0.9705
0.5000 0.5000 0.5000
0.5000 0.9705 0.0295
0.9705 0.0295 0.5000
0.0243 0.6320 0.8357
0.1057 0.8943 0.5000
0.1643 0.3680 0.9757
0.3660 0.6340 0.5000
0.3680 0.9757 0.1643
0.5000 0.1057 0.8943
0.5000 0.3660 0.6340
0.6320 0.8357 0.0243
0.6340 0.5000 0.3660
0.8357 0.0243 0.6320
0.8943 0.5000 0.1057
0.9757 0.1643 0.3680
```

- ΔE_f (raw) (eV/f.u.) = -8.4
- space-group type = R32
- energy (eV/atom) = -8.762

No. 16
Compound: MgPa2CN5
Source: Alexandria via LeMat-Bulk
Functional: PBE-GGA
Structure: optimized geometry

The structure in POSCAR format:
```
MgPa2CN5
1.0
6.5355 0.0000 0.0000
0.0000 6.5355 0.0000
0.0000 0.0000 5.1286
Mg Pa C N
2 4 2 10
Direct
0.0000 0.0000 0.0000
0.5000 0.5000 0.0000
0.1839 0.3161 0.5000
0.3161 0.8161 0.5000
0.6839 0.1839 0.5000
0.8161 0.6839 0.5000
0.0000 0.5000 0.0000
0.5000 0.0000 0.0000
0.0000 0.0000 0.5000
0.1251 0.6251 0.2205
0.1251 0.6251 0.7795
0.3749 0.1251 0.2205
0.3749 0.1251 0.7795
0.5000 0.5000 0.5000
0.6251 0.8749 0.2205
0.6251 0.8749 0.7795
0.8749 0.3749 0.2205
0.8749 0.3749 0.7795
```

- ΔE_f (raw) (eV/f.u.) = -2.6
- space-group type = P4/mbm
- energy (eV/atom) = -8.228

No. 17
Compound: MgPdCN2
Source: Alexandria via LeMat-Bulk
Functional: PBE-GGA
Structure: optimized geometry

The structure in POSCAR format:
```
MgPdCN2
1.0
3.5943 0.0000 0.0000
0.0000 3.5943 0.0000
0.0000 0.0000 4.1764
Mg Pd C N
1 1 1 2
Direct
0.0000 0.0000 0.0000
0.5000 0.5000 0.0000
0.0000 0.0000 0.5000
0.0000 0.5000 0.5000
0.5000 0.0000 0.5000
```

- ΔE_f (raw) (eV/f.u.) = 9.9
- space-group type = P4/mmm
- energy (eV/atom) = -4.556

No. 18
Compound: Pm3MgC2N6
Source: Alexandria via LeMat-Bulk
Functional: PBE-GGA
Structure: optimized geometry

The structure in POSCAR format:
```
Pm3MgC2N6
1.0
5.3114 0.0000 0.0000
-2.6557 4.5998 0.0000
0.0000 0.0000 6.4267
Pm Mg C N
3 1 2 6
Direct
0.0000 0.0000 0.0000
0.3333 0.6667 0.6694
0.6667 0.3333 0.3306
0.0000 0.0000 0.5000
0.3333 0.6667 0.2773
0.6667 0.3333 0.7227
0.1849 0.3698 0.2860
0.1849 0.8151 0.2860
0.3698 0.1849 0.7140
0.6302 0.8151 0.2860
0.8151 0.1849 0.7140
0.8151 0.6302 0.7140
```

- ΔE_f (raw) (eV/f.u.) = -9.3
- space-group type = P-3m1
- energy (eV/atom) = -7.794

No. 19
Compound: Pm2MgC2N6
Source: Alexandria via LeMat-Bulk
Functional: PBE-GGA
Structure: optimized geometry

The structure in POSCAR format:
```
Pm2MgC2N6
1.0
4.6533 -2.5118 0.0000
4.6533 2.5118 0.0000
-3.2606 0.0000 5.3510
Pm Mg C N
2 1 2 6
Direct
0.2102 0.2102 0.1962
0.7898 0.7898 0.8038
0.0000 0.0000 0.5000
0.4493 0.4493 0.7463
0.5507 0.5507 0.2537
0.2305 0.6894 0.2055
0.2825 0.2825 0.6516
0.3106 0.7695 0.7945
0.6894 0.2305 0.2055
0.7175 0.7175 0.3484
0.7695 0.3106 0.7945
```

- ΔE_f (raw) (eV/f.u.) = -6.3
- space-group type = C2/m
- energy (eV/atom) = -7.798

No. 20
Compound: Pr3MgC2N6
Source: Alexandria via LeMat-Bulk
Functional: PBE-GGA
Structure: optimized geometry

The structure in POSCAR format:
```
Pr3MgC2N6
1.0
5.3575 0.0000 0.0000
-2.6788 4.6397 0.0000
0.0000 0.0000 6.5530
Pr Mg C N
3 1 2 6
Direct
0.0000 0.0000 0.0000
0.3333 0.6667 0.6695
0.6667 0.3333 0.3305
0.0000 0.0000 0.5000
0.3333 0.6667 0.2793
0.6667 0.3333 0.7207
0.1858 0.3716 0.2885
0.1858 0.8142 0.2885
0.3716 0.1858 0.7115
0.6284 0.8142 0.2885
0.8142 0.1858 0.7115
0.8142 0.6284 0.7115
```

- ΔE_f (raw) (eV/f.u.) = -8.9
- space-group type = P-3m1
- energy (eV/atom) = -7.769